[1]
The following is a DFT calculation (meta-GGA SCAN) of Ag2BSe2 at its PBEsol-relaxed geometry.

The structure in POSCAR format:
```
Ag2BSe2
1.0
3.635 0.000 0.000
0.000 3.635 0.000
-1.817 -1.817 7.293
B Se Ag
1 2 2
direct
0.000 0.000 0.000
0.250 0.750 0.500
0.750 0.250 0.500
0.413 0.413 0.825
0.587 0.587 0.175
```

Results
VASP energy: -20.98 eV per atom
V: 19.268 Å³ per atom
Magnetization: 0.00 μB/cell
Space-group type: I4/mmm, No. 139

[2]
The following is a DFT calculation (meta-GGA SCAN) of SrPbSe2 at its PBEsol-relaxed geometry.

The structure in POSCAR format:
```
SrPbSe2
1.0
4.132 0.000 0.000
0.000 4.557 0.000
-2.066 0.000 5.897
Pb Sr Se
1 1 2
direct
0.243 0.000 0.487
0.489 0.500 0.977
0.011 0.000 0.022
0.757 0.500 0.514
```

Results
VASP energy: -35.94 eV per atom
V: 27.758 Å³ per atom
Magnetization: 0.00 μB/cell
Space-group type: Amm2, No. 38

What formation energy from raw total energies values result from the calculations? In sequence: 1.086, -1.389 eV per atom.